Pr5GeSb4 | PBE | optimized geometry

abc: 4.519 4.519 16.257
angles: 97.99 97.99 90.00
Sites, in units of the cell vectors:
Sb: 0.600 0.600 0.200
Pr: 0.300 0.300 0.600
Ge: 0.000 0.000 0.000
Sb: 0.400 0.400 0.800
Pr: 0.500 0.500 0.000
Pr: 0.700 0.700 0.400
Pr: 0.903 0.903 0.806
Pr: 0.097 0.097 0.194
Sb: 0.199 0.199 0.397
Sb: 0.801 0.801 0.603

Calculated values
- raw formation energy (eV per atom) = -1.071
- density of states at the Fermi level (states/eV per cell) = 4.660
- total magnetization (μB/f.u.) = 0.000

---

Pr5Ge2Sb2 | PBE | optimized geometry

abc: 8.281 8.240 8.912
angles: 117.54 90.00 90.00
Sites, in units of the cell vectors:
Pr: 0.831 0.541 0.739
Ge: 0.872 0.372 0.000
Ge: 0.372 0.128 0.000
Pr: 0.669 0.041 0.739
Pr: 0.331 0.699 0.739
Ge: 0.628 0.872 0.000
Sb: 0.500 0.705 0.411
Pr: 0.500 0.500 0.000
Pr: 0.831 0.801 0.261
Sb: 0.000 0.795 0.589
Ge: 0.128 0.628 0.000
Pr: 0.331 0.959 0.261
Sb: 0.500 0.295 0.589
Pr: 0.000 0.000 0.000
Sb: 0.000 0.205 0.411
Pr: 0.169 0.199 0.739
Pr: 0.669 0.301 0.261
Pr: 0.169 0.459 0.261

Calculated values
- raw formation energy (eV per atom) = -0.957
- density of states at the Fermi level (states/eV per cell) = 14.357
- total magnetization (μB/f.u.) = 0.000